Computed, not measured: crystalline TcC3F at its relaxed geometry at the PBE level of DFT.

For the energy relative to the elements, uncorrected, the calculation gives 1647 meV per atom. Its uncorrected energy is -6.33 eV/atom. Its polymorph energy (0 for the lowest one) is 0.0000 eV per atom.

The structure belongs to space group Pm-3m (No. 221); the cell edges are 3.9967, 3.9967 and 3.9967 Å and the angles 90.00°, 90.00° and 90.00°. The inequivalent atoms are Tc at (0.0000, 0.0000, 0.0000), C at (0.0000, 0.0000, 0.5000) and F at (0.5000, 0.5000, 0.5000).